# 1
# NaLaZr | Alexandria via LeMat-Bulk | GGA-PBE | relaxed
data_NaLaZr
_chemical_formula_sum 'Na2 La2 Zr2'
_symmetry_space_group_name_H-M 'P 4/n m m'
_symmetry_Int_Tables_number 129
_cell_length_a 3.377
_cell_length_b 3.377
_cell_length_c 16.407
_cell_angle_alpha 90.00
_cell_angle_beta 90.00
_cell_angle_gamma 90.00
loop_
_symmetry_equiv_pos_as_xyz
'x,y,z'
'-x,-y,-z'
'-y+1/2,x,z'
'y+1/2,-x,-z'
'-x+1/2,-y+1/2,z'
'x+1/2,y+1/2,-z'
'y,-x+1/2,z'
'-y,x+1/2,-z'
'x+1/2,-y,-z'
'-x+1/2,y,z'
'-y,-x,-z'
'y,x,z'
'-x,y+1/2,-z'
'x,-y+1/2,z'
'y+1/2,x+1/2,-z'
'-y+1/2,-x+1/2,z'
loop_
_atom_site_label
_atom_site_type_symbol
_atom_site_fract_x
_atom_site_fract_y
_atom_site_fract_z
_atom_site_occupancy
Na1 Na 0.250 0.250 0.092 1
La1 La 0.250 0.250 0.718 1
Zr1 Zr 0.250 0.250 0.436 1
# - calculated total energy (hartree per atom) = -0.177
# - energy of formation (eV per atom) = 0.103
# - polymorph energy (0 for the lowest one) (meV per atom) = 0.0
# - calculated density (Mg/m³) = 4.49

# 2
# HfRe3Pd | Alexandria via LeMat-Bulk | GGA-PBE | relaxed
data_HfRe3Pd
_chemical_formula_sum 'Hf1 Re3 Pd1'
_symmetry_space_group_name_H-M 'P m -3 m'
_symmetry_Int_Tables_number 221
_symmetry_space_group_name_Hall '-P 4 2 3'
_cell_length_a 4.708
_cell_length_b 4.708
_cell_length_c 4.708
_cell_angle_alpha 90.00
_cell_angle_beta 90.00
_cell_angle_gamma 90.00
loop_
_atom_site_label
_atom_site_type_symbol
_atom_site_fract_x
_atom_site_fract_y
_atom_site_fract_z
_atom_site_occupancy
Hf1 Hf 0.000 0.000 0.000 1
Re1 Re 0.000 0.000 0.500 1
Pd1 Pd 0.500 0.500 0.500 1
# - calculated total energy (hartree per atom) = -0.293
# - energy of formation (eV per atom) = 2.512
# - polymorph energy (0 for the lowest one) (meV per atom) = 417.2
# - calculated density (Mg/m³) = 13.42

# 3
# BaCa2MgPt | Alexandria via LeMat-Bulk | GGA-PBE | relaxed
data_BaCa2MgPt
_chemical_formula_sum 'Ba1 Ca2 Mg1 Pt1'
_symmetry_space_group_name_H-M 'P 4/m m m'
_symmetry_Int_Tables_number 123
_symmetry_space_group_name_Hall '-P 4 2'
_cell_length_a 5.627
_cell_length_b 5.627
_cell_length_c 6.140
_cell_angle_alpha 90.00
_cell_angle_beta 90.00
_cell_angle_gamma 90.00
loop_
_atom_site_label
_atom_site_type_symbol
_atom_site_fract_x
_atom_site_fract_y
_atom_site_fract_z
_atom_site_occupancy
Ba1 Ba 0.000 0.000 0.000 1
Ca1 Ca 0.000 0.500 0.500 1
Mg1 Mg 0.500 0.500 0.000 1
Pt1 Pt 0.000 0.000 0.500 1
# - calculated total energy (hartree per atom) = -0.114
# - energy of formation (eV per atom) = -0.378
# - polymorph energy (0 for the lowest one) (meV per atom) = 42.8
# - calculated density (Mg/m³) = 3.73

# 4
# Tl2TePb | Alexandria via LeMat-Bulk | GGA-PBE | relaxed
data_Tl2TePb
_chemical_formula_sum 'Tl2 Te1 Pb1'
_symmetry_space_group_name_H-M 'P 1 2/m 1'
_symmetry_Int_Tables_number 10
_cell_length_a 3.361
_cell_length_b 5.774
_cell_length_c 6.607
_cell_angle_alpha 90.00
_cell_angle_beta 91.91
_cell_angle_gamma 90.00
loop_
_symmetry_equiv_pos_as_xyz
'x,y,z'
'-x,-y,-z'
'-x,y,-z'
'x,-y,z'
loop_
_atom_site_label
_atom_site_type_symbol
_atom_site_fract_x
_atom_site_fract_y
_atom_site_fract_z
_atom_site_occupancy
Tl1 Tl 0.100 0.000 0.252 1
Te1 Te 0.500 0.500 0.500 1
Pb1 Pb 0.500 0.500 0.000 1
# - calculated total energy (hartree per atom) = -0.109
# - energy relative to the elements, uncorrected (eV per atom) = -0.08
# - polymorph energy (0 for the lowest one) (meV per atom) = 69.8
# - calculated density (Mg/m³) = 9.63

# 5
# CeLu2Al | Alexandria via LeMat-Bulk | GGA-PBE | relaxed
data_CeLu2Al
_chemical_formula_sum 'Ce4 Lu8 Al4'
_symmetry_space_group_name_H-M 'F m -3 m'
_symmetry_Int_Tables_number 225
_symmetry_space_group_name_Hall '-F 4 2 3'
_cell_length_a 7.371
_cell_length_b 7.371
_cell_length_c 7.371
_cell_angle_alpha 90.00
_cell_angle_beta 90.00
_cell_angle_gamma 90.00
loop_
_atom_site_label
_atom_site_type_symbol
_atom_site_fract_x
_atom_site_fract_y
_atom_site_fract_z
_atom_site_occupancy
Ce1 Ce 0.000 0.000 0.000 1
Lu1 Lu 0.250 0.250 0.250 1
Al1 Al 0.000 0.000 0.500 1
# - calculated total energy (hartree per atom) = -0.171
# - energy of formation (eV per atom) = 0.016
# - polymorph energy (0 for the lowest one) (meV per atom) = 179.9
# - calculated density (Mg/m³) = 8.58

# 6
# TaNi3B | Alexandria via LeMat-Bulk | GGA-PBE | relaxed
data_TaNi3B
_chemical_formula_sum 'Ta1 Ni3 B1'
_symmetry_space_group_name_H-M 'P m -3 m'
_symmetry_Int_Tables_number 221
_symmetry_space_group_name_Hall '-P 4 2 3'
_cell_length_a 4.544
_cell_length_b 4.544
_cell_length_c 4.544
_cell_angle_alpha 90.00
_cell_angle_beta 90.00
_cell_angle_gamma 90.00
loop_
_atom_site_label
_atom_site_type_symbol
_atom_site_fract_x
_atom_site_fract_y
_atom_site_fract_z
_atom_site_occupancy
Ta1 Ta 0.000 0.000 0.000 1
Ni1 Ni 0.000 0.000 0.500 1
B1 B 0.500 0.500 0.500 1
# - calculated total energy (hartree per atom) = -0.185
# - energy of formation (eV per atom) = 2.144
# - polymorph energy (0 for the lowest one) (meV per atom) = 2184.6
# - calculated density (Mg/m³) = 6.51

# 7
# AcPmOsPt | Alexandria via LeMat-Bulk | GGA-PBE | relaxed
data_AcPmOsPt
_chemical_formula_sum 'Ac4 Pm4 Os4 Pt4'
_symmetry_space_group_name_H-M 'F -4 3 m'
_symmetry_Int_Tables_number 216
_symmetry_space_group_name_Hall 'F -4 2 3'
_cell_length_a 7.275
_cell_length_b 7.275
_cell_length_c 7.275
_cell_angle_alpha 90.00
_cell_angle_beta 90.00
_cell_angle_gamma 90.00
loop_
_atom_site_label
_atom_site_type_symbol
_atom_site_fract_x
_atom_site_fract_y
_atom_site_fract_z
_atom_site_occupancy
Ac1 Ac 0.000 0.000 0.000 1
Pm1 Pm 0.000 0.000 0.500 1
Os1 Os 0.250 0.250 0.750 1
Pt1 Pt 0.250 0.250 0.250 1
# - calculated total energy (hartree per atom) = -0.253
# - energy of formation (eV per atom) = -0.348
# - calculated density (Mg/m³) = 13.07

# 8
# BeSbOs2 | Alexandria via LeMat-Bulk | GGA-PBE | relaxed
data_BeSbOs2
_chemical_formula_sum 'Be2 Sb2 Os4'
_symmetry_space_group_name_H-M 'C 1 2/m 1'
_symmetry_Int_Tables_number 12
_cell_length_a 8.447
_cell_length_b 2.969
_cell_length_c 4.902
_cell_angle_alpha 90.00
_cell_angle_beta 107.01
_cell_angle_gamma 90.00
loop_
_symmetry_equiv_pos_as_xyz
'x,y,z'
'-x,-y,-z'
'-x,y,-z'
'x,-y,z'
'x+1/2,y+1/2,z'
'-x+1/2,-y+1/2,-z'
'-x+1/2,y+1/2,-z'
'x+1/2,-y+1/2,z'
loop_
_atom_site_label
_atom_site_type_symbol
_atom_site_fract_x
_atom_site_fract_y
_atom_site_fract_z
_atom_site_occupancy
Be1 Be 0.000 0.000 0.000 1
Sb1 Sb 0.000 0.500 0.500 1
Os1 Os 0.221 0.500 0.210 1
# - calculated total energy (hartree per atom) = -0.266
# - energy relative to the elements, uncorrected (eV per atom) = 0.34
# - polymorph energy (0 for the lowest one) (meV per atom) = 31.2
# - calculated density (Mg/m³) = 14.44

# 9
# TaRe2HOs | Alexandria via LeMat-Bulk | GGA-PBE | relaxed
data_TaRe2HOs
_chemical_formula_sum 'Ta1 Re2 H1 Os1'
_symmetry_space_group_name_H-M 'P 4/m m m'
_symmetry_Int_Tables_number 123
_symmetry_space_group_name_Hall '-P 4 2'
_cell_length_a 4.004
_cell_length_b 4.004
_cell_length_c 4.003
_cell_angle_alpha 90.00
_cell_angle_beta 90.00
_cell_angle_gamma 90.00
loop_
_atom_site_label
_atom_site_type_symbol
_atom_site_fract_x
_atom_site_fract_y
_atom_site_fract_z
_atom_site_occupancy
Ta1 Ta 0.000 0.000 0.000 1
Re1 Re 0.000 0.500 0.500 1
H1 H 0.500 0.500 0.500 1
Os1 Os 0.500 0.500 0.000 1
# - calculated total energy (hartree per atom) = -0.376
# - polymorph energy (0 for the lowest one) (meV per atom) = 13.7
# - calculated density (Mg/m³) = 19.27

# 10
# LaSm2Te4 | Alexandria via LeMat-Bulk | GGA-PBE | relaxed
data_LaSm2Te4
_chemical_formula_sum 'La4 Sm8 Te16'
_symmetry_space_group_name_H-M 'C m c m'
_symmetry_Int_Tables_number 63
_symmetry_space_group_name_Hall '-C 2c 2'
_cell_length_a 4.403
_cell_length_b 14.597
_cell_length_c 15.212
_cell_angle_alpha 90.00
_cell_angle_beta 90.00
_cell_angle_gamma 90.00
loop_
_atom_site_label
_atom_site_type_symbol
_atom_site_fract_x
_atom_site_fract_y
_atom_site_fract_z
_atom_site_occupancy
La1 La 0.000 0.122 0.250 1
Sm1 Sm 0.000 0.368 0.066 1
Te1 Te 0.000 0.000 0.000 1
Te2 Te 0.000 0.275 0.623 1
Te3 Te 0.000 0.460 0.250 1
# - calculated total energy (hartree per atom) = -0.196
# - energy relative to the elements, uncorrected (eV per atom) = -1.47
# - polymorph energy (0 for the lowest one) (meV per atom) = 0.0
# - calculated density (Mg/m³) = 6.45

# 11
# Hf2Fe2Cu | Alexandria via LeMat-Bulk | GGA-PBE | relaxed
data_Hf2Fe2Cu
_chemical_formula_sum 'Hf4 Fe4 Cu2'
_symmetry_space_group_name_H-M 'P 4/m b m'
_symmetry_Int_Tables_number 127
_symmetry_space_group_name_Hall '-P 4 2ab'
_cell_length_a 6.393
_cell_length_b 6.393
_cell_length_c 3.774
_cell_angle_alpha 90.00
_cell_angle_beta 90.00
_cell_angle_gamma 90.00
loop_
_atom_site_label
_atom_site_type_symbol
_atom_site_fract_x
_atom_site_fract_y
_atom_site_fract_z
_atom_site_occupancy
Hf1 Hf 0.182 0.318 0.000 1
Fe1 Fe 0.120 0.620 0.500 1
Cu1 Cu 0.000 0.000 0.500 1
# - calculated total energy (hartree per atom) = -0.305
# - energy of formation (eV per atom) = -0.108
# - calculated density (Mg/m³) = 11.46